Fe2MoWN | PBE | optimized geometry

Cell: 4.4236 4.4236 3.7986 Å, 90.00 90.00 90.00°
Fractional coordinates of all 5 atoms:
Fe (0.0000, 0.5000, 0.0000)
Fe (0.5000, 0.0000, 0.0000)
Mo (0.0000, 0.0000, 0.0000)
W (0.5000, 0.5000, 0.5000)
N (0.0000, 0.0000, 0.5000)

Summary:
Raw formation energy in eV/atom: 1.76
Density in g cm⁻³: 9.1

=====

YFe11MoN | PBE | optimized geometry

Cell: 6.5133 6.5133 6.5133 Å, 136.94 97.65 97.82°
Fractional coordinates of all 14 atoms:
Y (0.0000, 0.0000, 0.0000)
Fe (0.2128, 0.4900, 0.7228)
Fe (0.2195, 0.7195, 0.5000)
Fe (0.3541, 0.3541, 0.0000)
Fe (0.3536, 0.9935, 0.3601)
Fe (0.4922, 0.4935, 0.4976)
Fe (0.4922, 0.9945, 0.9986)
Fe (0.6334, 0.9935, 0.6399)
Fe (0.7672, 0.4900, 0.2772)
Fe (0.7712, 0.2712, 0.5000)
Fe (0.9959, 0.4935, 0.0014)
Fe (0.9959, 0.9945, 0.5024)
Mo (0.6311, 0.6311, 0.0000)
N (0.9947, 0.4947, 0.5000)

Summary:
Raw formation energy in eV/atom: -0.11
Density in g cm⁻³: 7.7

=====

ZnFe2MoN | PBE | optimized geometry

Cell: 3.8422 3.8422 4.0887 Å, 90.00 90.00 90.00°
Fractional coordinates of all 5 atoms:
Zn (0.0000, 0.0000, 0.0000)
Fe (0.0000, 0.5000, 0.5000)
Fe (0.5000, 0.0000, 0.5000)
Mo (0.5000, 0.5000, 0.0000)
N (0.5000, 0.5000, 0.5000)

Summary:
Raw formation energy in eV/atom: -0.10
Density in g cm⁻³: 7.9

=====

NaFeMo3 | PBE | optimized geometry

Cell: 4.4300 4.4300 4.4300 Å, 90.00 90.00 90.00°
Fractional coordinates of all 5 atoms:
Na (0.0000, 0.0000, 0.0000)
Fe (0.5000, 0.5000, 0.5000)
Mo (0.0000, 0.0000, 0.5000)
Mo (0.0000, 0.5000, 0.0000)
Mo (0.5000, 0.0000, 0.0000)

Summary:
Density in g cm⁻³: 7.0
Excess energy over the best structure of this formula in the dataset in meV per atom: 1613
Formation energy from the elements in eV per atom: 2.924

=====

NaFeMo2 | PBE | optimized geometry

Cell: 7.1294 7.1294 5.2910 Å, 90.00 90.00 90.00°
Fractional coordinates of all 16 atoms:
Na (0.0000, 0.0000, 0.0000)
Na (0.0000, 0.5000, 0.2500)
Na (0.5000, 0.0000, 0.7500)
Na (0.5000, 0.5000, 0.5000)
Fe (0.0000, 0.0000, 0.5000)
Fe (0.0000, 0.5000, 0.7500)
Fe (0.5000, 0.0000, 0.2500)
Fe (0.5000, 0.5000, 0.0000)
Mo (0.1890, 0.2500, 0.6250)
Mo (0.2500, 0.6890, 0.8750)
Mo (0.2500, 0.8110, 0.3750)
Mo (0.3110, 0.2500, 0.1250)
Mo (0.6890, 0.7500, 0.1250)
Mo (0.7500, 0.1890, 0.3750)
Mo (0.7500, 0.3110, 0.8750)
Mo (0.8110, 0.7500, 0.6250)

Summary:
Density in g cm⁻³: 6.7
Excess energy over the best structure of this formula in the dataset in meV per atom: 21
Formation energy from the elements in eV per atom: 1.075

=====

NaFe3Mo | PBE | optimized geometry

Cell: 4.5678 4.5678 4.5678 Å, 90.00 90.00 90.00°
Fractional coordinates of all 5 atoms:
Na (0.0000, 0.0000, 0.0000)
Fe (0.0000, 0.5000, 0.5000)
Fe (0.5000, 0.0000, 0.5000)
Fe (0.5000, 0.5000, 0.0000)
Mo (0.5000, 0.5000, 0.5000)

Summary:
Density in g cm⁻³: 5.0
Excess energy over the best structure of this formula in the dataset in meV per atom: 0
Formation energy from the elements in eV per atom: 1.315